(1)
# PmZnGeRh

A relaxed structure of PmZnGeRh (PBE-GGA, Alexandria via LeMat-Bulk).

D(E_F) = 0.673 states/eV per atom
Calculated density = 8611 kg/m³
Total DFT energy (no corrections) = -19.563 eV per cell
Formation enthalpy at 0 K = -0.39 eV per atom

Cell lengths 4.7214, 4.7214, 4.7214 Å; angles 60.00, 60.00, 60.00 degrees
Closest atoms and distances in Å follow each position.
Atoms (fractional coordinates):
1 Ge 0.2500 0.2500 0.2500  4 Rh 2.89, 4 Zn 2.89
2 Zn 0.0000 0.0000 0.0000  4 Ge 2.89, 4 Pm 2.89
3 Pm 0.7500 0.7500 0.7500  4 Rh 2.89, 4 Zn 2.89
4 Rh 0.5000 0.5000 0.5000  4 Pm 2.89, 4 Ge 2.89


(2)
# Pm3Zn2GeRh9

A relaxed structure of Pm3Zn2GeRh9 (PBE-GGA, Alexandria via LeMat-Bulk).

D(E_F) = 1.325 states/eV per atom
Calculated density = 8619 kg/m³
Total DFT energy (no corrections) = -89.580 eV per cell
Formation enthalpy at 0 K = -0.13 eV per atom

Cell lengths 6.4770, 6.4770, 8.2964 Å; angles 90.00, 90.00, 120.00 degrees
Closest atoms and distances in Å follow each position.
Atoms (fractional coordinates):
1 Pm 0.3333 0.6667 0.7081  9 Rh 3.06-3.25
2 Zn 0.6667 0.3333 0.8123  6 Rh 2.32-2.43
3 Rh 0.8597 0.1403 0.7126  1 Zn 2.32, 1 Ge 2.36
4 Rh 0.5000 0.5000 0.0000  2 Zn 2.43
5 Rh 0.1403 0.8597 0.2874  1 Zn 2.32, 1 Ge 2.36
6 Ge 0.0000 0.0000 0.5000  6 Rh 2.36
7 Zn 0.3333 0.6667 0.1877  6 Rh 2.32-2.43
8 Pm 0.6667 0.3333 0.2919  9 Rh 3.06-3.25
9 Rh 0.7193 0.8597 0.2874  1 Zn 2.32, 1 Ge 2.36
10 Rh 0.1403 0.2807 0.2874  1 Zn 2.32, 1 Ge 2.36
11 Rh 0.0000 0.5000 0.0000  2 Zn 2.43
12 Rh 0.8597 0.7193 0.7126  1 Zn 2.32, 1 Ge 2.36
13 Rh 0.2807 0.1403 0.7126  1 Zn 2.32, 1 Ge 2.36
14 Rh 0.5000 0.0000 0.0000  2 Zn 2.43
15 Pm 0.0000 0.0000 0.0000  6 Rh 2.86


(3)
# PmZn2GeRh2

A relaxed structure of PmZn2GeRh2 (PBE-GGA, Alexandria via LeMat-Bulk).

D(E_F) = 1.109 states/eV per atom
Calculated density = 7713 kg/m³
Total DFT energy (no corrections) = -28.318 eV per cell
Formation enthalpy at 0 K = -0.28 eV per atom

Cell lengths 4.5849, 4.5849, 5.6762 Å; angles 90.00, 90.00, 90.00 degrees
Closest atoms and distances in Å follow each position.
Atoms (fractional coordinates):
1 Rh 0.5000 0.0000 0.0000  2 Ge 2.29
2 Pm 0.0000 0.0000 0.5000  2 Ge 2.84
3 Zn 0.5000 0.5000 0.2637  2 Zn 2.68-2.99, 4 Rh 2.74
4 Ge 0.0000 0.0000 0.0000  4 Rh 2.29
5 Zn 0.5000 0.5000 0.7363  2 Zn 2.68-2.99, 4 Rh 2.74
6 Rh 0.0000 0.5000 0.0000  2 Ge 2.29


(4)
# Pm2Zn3Ge4Rh

A relaxed structure of Pm2Zn3Ge4Rh (PBE-GGA, Alexandria via LeMat-Bulk).

D(E_F) = 0.464 states/eV per atom
Calculated density = 7666 kg/m³
Total DFT energy (no corrections) = -44.113 eV per cell
Formation enthalpy at 0 K = -0.50 eV per atom

Cell lengths 4.2436, 4.2436, 10.5807 Å; angles 90.00, 90.00, 90.00 degrees
Closest atoms and distances in Å follow each position.
Atoms (fractional coordinates):
1 Ge 0.0000 0.0000 0.0000  4 Zn 2.58
2 Pm 0.0000 0.5000 0.7437  8 Ge 3.23-3.44, 6 Zn 3.25-3.34, 2 Rh 3.34
3 Ge 0.5000 0.0000 0.6304  3 Zn 2.44-2.53, 2 Rh 2.53
4 Ge 0.0000 0.5000 0.3696  3 Zn 2.44-2.53, 2 Rh 2.53
5 Zn 0.0000 0.5000 0.1393  5 Ge 2.44-2.58
6 Zn 0.0000 0.0000 0.5000  4 Ge 2.53
7 Zn 0.5000 0.0000 0.8607  5 Ge 2.44-2.58
8 Pm 0.5000 0.0000 0.2563  8 Ge 3.23-3.44, 6 Zn 3.25-3.34, 2 Rh 3.34
9 Ge 0.5000 0.5000 0.0000  4 Zn 2.58
10 Rh 0.5000 0.5000 0.5000  4 Ge 2.53


- Which of these has the lowest D(E_F)?
  Pm2Zn3Ge4Rh


- calculated density of number 4 (Pm2Zn3Ge4Rh)?
  7666 kg/m³


- Among the records above, which one has the lowest total DFT energy (no corrections)?
  Pm3Zn2GeRh9